Hf4SnHgB2 | PBE | optimized geometry

Values from the calculation:
Raw total energy (eV/atom): -7.66
Theoretical density (g/cm3): 11.697

Cell: 3.415 3.415 14.829 Å, 90.00 90.00 120.00°
Fractional coordinates of all 8 atoms:
1 B 0.667 0.333 0.251
2 B 0.667 0.333 0.749
3 Sn 0.333 0.667 0.500
4 Hf 0.000 0.000 0.664
5 Hf 0.000 0.000 0.336
6 Hf 0.333 0.667 0.164
7 Hf 0.333 0.667 0.836
8 Hg 0.000 0.000 0.000

ZrBeHgPd | PBE | optimized geometry

Values from the calculation:
Raw total energy (eV/atom): -4.55
Theoretical density (g/cm3): 10.023
Offset from the most stable computed form (meV/atom): 72

Cell: 4.570 4.570 4.570 Å, 60.00 60.00 60.00°
Fractional coordinates of all 4 atoms:
1 Pd 0.500 0.500 0.500
2 Be 0.750 0.750 0.750
3 Zr 0.000 0.000 0.000
4 Hg 0.250 0.250 0.250